(1)
Below is a relaxed Sc2OsW crystal, with properties calculated at the PBE-GGA level.

Output
ΔE to the lowest computed polymorph: 0.284 eV/atom
Fermi-level density of states: 3.607 states/eV/cell
volume: 17.68 Å³/atom
total energy: -9.030 eV/atom

Cell: 2.988 4.382 5.400 Å, 90.00 90.00 90.00°
Positions (direct):
Os: 0.500 0.500 0.750
Sc: 0.000 0.000 0.993
Sc: 0.000 0.000 0.507
W: 0.500 0.500 0.250



(2)
Below is a relaxed ScOs2W crystal, with properties calculated at the PBE-GGA level.

Output
Fermi-level density of states: 3.010 states/eV/cell
volume: 15.90 Å³/atom
total energy: -10.323 eV/atom

Cell: 2.787 2.787 8.836 Å, 90.00 90.00 112.07°
Positions (direct):
Os: 0.000 0.000 0.995
Os: 0.000 0.000 0.505
Sc: 0.500 0.500 0.250
W: 0.500 0.500 0.750



(3)
Below is a relaxed Sc2OsW crystal, with properties calculated at the PBE-GGA level.

Output
ΔE to the lowest computed polymorph: 0.276 eV/atom
Fermi-level density of states: 4.649 states/eV/cell
volume: 17.62 Å³/atom
total energy: -9.038 eV/atom

Cell: 5.357 5.357 5.357 Å, 137.07 137.07 62.33°
Positions (direct):
Os: 0.750 0.250 0.500
Sc: 0.000 0.000 0.000
Sc: 0.500 0.500 0.000
W: 0.250 0.750 0.500



(4)
Below is a relaxed ScOs3W crystal, with properties calculated at the PBE-GGA level.

Output
ΔE to the lowest computed polymorph: 0.000 eV/atom
Fermi-level density of states: 4.206 states/eV/cell
volume: 20.90 Å³/atom
total energy: -9.101 eV/atom

Cell: 4.710 4.710 4.710 Å, 90.00 90.00 90.00°
Positions (direct):
Sc: 0.500 0.500 0.500
Os: 0.000 0.500 0.000
Os: 0.000 0.000 0.500
Os: 0.500 0.000 0.000
W: 0.000 0.000 0.000



(5)
Below is a relaxed Sc2OsW crystal, with properties calculated at the PBE-GGA level.

Output
ΔE to the lowest computed polymorph: 0.325 eV/atom
Fermi-level density of states: 3.939 states/eV/cell
volume: 18.94 Å³/atom
total energy: -8.989 eV/atom

Cell: 9.542 9.542 9.542 Å, 18.42 18.42 18.42°
Positions (direct):
Os: 0.755 0.755 0.755
Sc: 0.012 0.012 0.012
Sc: 0.241 0.241 0.241
W: 0.492 0.492 0.492



(6)
Below is a relaxed ScOsW2 crystal, with properties calculated at the PBE-GGA level.

Output
ΔE to the lowest computed polymorph: 0.058 eV/atom
Fermi-level density of states: 2.708 states/eV/cell
volume: 16.28 Å³/atom
total energy: -10.883 eV/atom

Cell: 3.147 4.445 4.657 Å, 90.00 90.00 90.00°
Positions (direct):
Os: 0.500 0.000 0.500
Sc: 0.000 0.500 0.500
W: 0.000 0.000 0.000
W: 0.500 0.500 0.000



(7)
Below is a relaxed ScOsW3 crystal, with properties calculated at the PBE-GGA level.

Output
ΔE to the lowest computed polymorph: 0.000 eV/atom
Fermi-level density of states: 6.929 states/eV/cell
volume: 21.80 Å³/atom
total energy: -9.756 eV/atom

Cell: 4.777 4.777 4.777 Å, 90.00 90.00 90.00°
Positions (direct):
Sc: 0.500 0.500 0.500
Os: 0.000 0.000 0.000
W: 0.000 0.500 0.000
W: 0.000 0.000 0.500
W: 0.500 0.000 0.000



(8)
Below is a relaxed Sc2OsW crystal, with properties calculated at the PBE-GGA level.

Output
ΔE to the lowest computed polymorph: 0.305 eV/atom
Fermi-level density of states: 4.209 states/eV/cell
volume: 17.71 Å³/atom
total energy: -9.009 eV/atom

Cell: 5.178 5.178 2.963 Å, 90.00 90.00 116.89°
Positions (direct):
Os: 0.000 0.500 0.500
Sc: 0.000 0.000 0.000
Sc: 0.500 0.500 0.000
W: 0.500 0.000 0.500



(9)
Below is a relaxed ScOs2W2 crystal, with properties calculated at the PBE-GGA level.

Output
ΔE to the lowest computed polymorph: 0.217 eV/atom
Fermi-level density of states: 5.449 states/eV/cell
volume: 19.19 Å³/atom
total energy: -10.627 eV/atom

Cell: 4.230 4.230 6.141 Å, 69.85 69.85 90.00°
Positions (direct):
Sc: 0.000 0.000 0.000
Os: 0.750 0.250 0.500
Os: 0.250 0.750 0.500
W: 0.379 0.379 0.243
W: 0.621 0.621 0.757



(10)
Below is a relaxed ScOs2W crystal, with properties calculated at the PBE-GGA level.

Output
Fermi-level density of states: 3.430 states/eV/cell
volume: 15.95 Å³/atom
total energy: -10.393 eV/atom

Cell: 4.492 2.798 5.205 Å, 77.09 90.00 90.00°
Positions (direct):
Os: 0.000 0.979 0.976
Os: 0.500 0.256 0.274
Sc: 0.000 0.510 0.483
W: 0.500 0.755 0.766



(11)
Below is a relaxed ScOs2W crystal, with properties calculated at the PBE-GGA level.

Output
Fermi-level density of states: 3.483 states/eV/cell
volume: 15.83 Å³/atom
total energy: -10.310 eV/atom

Cell: 3.108 4.683 4.351 Å, 90.00 90.00 90.00°
Positions (direct):
Os: 0.000 0.000 0.000
Os: 0.500 0.500 0.000
Sc: 0.500 0.000 0.500
W: 0.000 0.500 0.500



(12)
Below is a relaxed Sc2OsW crystal, with properties calculated at the PBE-GGA level.

Output
ΔE to the lowest computed polymorph: 0.137 eV/atom
Fermi-level density of states: 4.460 states/eV/cell
volume: 17.38 Å³/atom
total energy: -9.176 eV/atom

Cell: 5.472 5.472 4.648 Å, 64.87 64.87 33.86°
Positions (direct):
Os: 0.250 0.250 0.250
Sc: 0.983 0.983 0.017
Sc: 0.517 0.517 0.483
W: 0.750 0.750 0.750